[1]
Entry from the Alexandria database: a geometry-optimized Ce4NdTh5 structure (PBE).

Cell: 3.5084 3.5084 24.6132 Å, 90.00 90.00 90.00°
Last column: nearest neighbours and their distance in Å.
Element x y z (fractional)
Ce (0.0000, 0.0000, 0.0979)  8 Th 3.46, 4 Ce 3.51
Ce (0.0000, 0.0000, 0.2931)  8 Th 3.45-3.47, 4 Ce 3.51
Ce (0.0000, 0.0000, 0.7069)  8 Th 3.45-3.47, 4 Ce 3.51
Ce (0.0000, 0.0000, 0.9021)  8 Th 3.46, 4 Ce 3.51
Nd (0.0000, 0.0000, 0.5000)  4 Nd 3.51, 8 Th 3.64
Th (0.5000, 0.5000, 0.0000)  8 Ce 3.46, 4 Th 3.51
Th (0.5000, 0.5000, 0.1957)  8 Ce 3.45-3.46, 4 Th 3.51
Th (0.5000, 0.5000, 0.3918)  4 Ce 3.47, 4 Th 3.51, 4 Nd 3.64
Th (0.5000, 0.5000, 0.6082)  4 Ce 3.47, 4 Th 3.51, 4 Nd 3.64
Th (0.5000, 0.5000, 0.8043)  8 Ce 3.45-3.46, 4 Th 3.51

Properties
Density of states at the Fermi level (states/eV/atom): 1.764
Final energy (eV/atom): -6.536
Total moment (μB per formula unit): 0.000
Calculated volume (Å³ per cell): 303.0
Formation energy (eV/atom): 0.0247

[2]
Entry from the Alexandria database: a geometry-optimized Re2PRu structure (PBE).

Cell: 3.7928 3.7928 7.7666 Å, 90.00 90.00 90.00°
Last column: nearest neighbours and their distance in Å.
Element x y z (fractional)
Re (0.0000, 0.0000, 0.0000)  4 P 2.68, 4 Re 2.71, 4 Ru 2.71
Re (0.0000, 0.5000, 0.2500)  4 Ru 2.68, 4 Re 2.71, 4 P 2.71
Re (0.5000, 0.0000, 0.7500)  4 Ru 2.68, 4 Re 2.71, 4 P 2.71
Re (0.5000, 0.5000, 0.5000)  4 P 2.68, 4 Re 2.71, 4 Ru 2.71
P (0.0000, 0.0000, 0.5000)  8 Re 2.68-2.71, 4 Ru 2.71
P (0.5000, 0.5000, 0.0000)  8 Re 2.68-2.71, 4 Ru 2.71
Ru (0.0000, 0.5000, 0.7500)  8 Re 2.68-2.71, 4 P 2.71
Ru (0.5000, 0.0000, 0.2500)  8 Re 2.68-2.71, 4 P 2.71

Properties
Density of states at the Fermi level (states/eV/atom): 1.065
Final energy (eV/atom): -9.607
Total moment (μB per formula unit): 0.000
Calculated volume (Å³ per cell): 111.7
Formation energy (eV/atom): 0.2883

[3]
Entry from the Alexandria database: a geometry-optimized LiHfScPt structure (PBE).

Cell: 6.5975 6.5975 6.5975 Å, 90.00 90.00 90.00°
Last column: nearest neighbours and their distance in Å.
Element x y z (fractional)
Li (0.0000, 0.0000, 0.0000)  4 Hf 2.86, 4 Sc 2.86
Li (0.0000, 0.5000, 0.5000)  4 Hf 2.86, 4 Sc 2.86
Li (0.5000, 0.0000, 0.5000)  4 Hf 2.86, 4 Sc 2.86
Li (0.5000, 0.5000, 0.0000)  4 Hf 2.86, 4 Sc 2.86
Hf (0.2500, 0.2500, 0.2500)  4 Li 2.86, 4 Pt 2.86
Hf (0.2500, 0.7500, 0.7500)  4 Li 2.86, 4 Pt 2.86
Hf (0.7500, 0.2500, 0.7500)  4 Li 2.86, 4 Pt 2.86
Hf (0.7500, 0.7500, 0.2500)  4 Li 2.86, 4 Pt 2.86
Sc (0.2500, 0.2500, 0.7500)  4 Li 2.86, 4 Pt 2.86
Sc (0.2500, 0.7500, 0.2500)  4 Li 2.86, 4 Pt 2.86
Sc (0.7500, 0.2500, 0.2500)  4 Li 2.86, 4 Pt 2.86
Sc (0.7500, 0.7500, 0.7500)  4 Li 2.86, 4 Pt 2.86
Pt (0.0000, 0.0000, 0.5000)  4 Hf 2.86, 4 Sc 2.86
Pt (0.0000, 0.5000, 0.0000)  4 Hf 2.86, 4 Sc 2.86
Pt (0.5000, 0.0000, 0.0000)  4 Hf 2.86, 4 Sc 2.86
Pt (0.5000, 0.5000, 0.5000)  4 Hf 2.86, 4 Sc 2.86

Properties
Density of states at the Fermi level (states/eV/atom): 0.668
Final energy (eV/atom): -6.655
Total moment (μB per formula unit): 0.000
Calculated volume (Å³ per cell): 287.2
Formation energy (eV/atom): -0.5950

[4]
Entry from the Alexandria database: a geometry-optimized CaHoMgPd structure (PBE).

Cell: 7.2890 7.2890 7.2890 Å, 90.00 90.00 90.00°
Last column: nearest neighbours and their distance in Å.
Element x y z (fractional)
Ca (0.0000, 0.0000, 0.0000)  4 Mg 3.16, 4 Pd 3.16
Ca (0.0000, 0.5000, 0.5000)  4 Mg 3.16, 4 Pd 3.16
Ca (0.5000, 0.0000, 0.5000)  4 Mg 3.16, 4 Pd 3.16
Ca (0.5000, 0.5000, 0.0000)  4 Mg 3.16, 4 Pd 3.16
Ho (0.0000, 0.0000, 0.5000)  4 Mg 3.16, 4 Pd 3.16
Ho (0.0000, 0.5000, 0.0000)  4 Mg 3.16, 4 Pd 3.16
Ho (0.5000, 0.0000, 0.0000)  4 Mg 3.16, 4 Pd 3.16
Ho (0.5000, 0.5000, 0.5000)  4 Mg 3.16, 4 Pd 3.16
Mg (0.2500, 0.2500, 0.7500)  4 Ho 3.16, 4 Ca 3.16
Mg (0.2500, 0.7500, 0.2500)  4 Ho 3.16, 4 Ca 3.16
Mg (0.7500, 0.2500, 0.2500)  4 Ho 3.16, 4 Ca 3.16
Mg (0.7500, 0.7500, 0.7500)  4 Ho 3.16, 4 Ca 3.16
Pd (0.2500, 0.2500, 0.2500)  4 Ho 3.16, 4 Ca 3.16
Pd (0.2500, 0.7500, 0.7500)  4 Ho 3.16, 4 Ca 3.16
Pd (0.7500, 0.2500, 0.7500)  4 Ho 3.16, 4 Ca 3.16
Pd (0.7500, 0.7500, 0.2500)  4 Ho 3.16, 4 Ca 3.16

Properties
Density of states at the Fermi level (states/eV/atom): 0.956
Final energy (eV/atom): -3.679
Total moment (μB per formula unit): 0.000
Calculated volume (Å³ per cell): 387.3
Formation energy (eV/atom): -0.3374

[5]
Entry from the Alexandria database: a geometry-optimized NaNbSiO5 structure (PBE).

Cell: 5.5927 5.5927 7.4848 Å, 105.71 105.71 103.19°
Last column: nearest neighbours and their distance in Å.
Element x y z (fractional)
Na (0.1710, 0.8290, 0.7500)  3 O 2.28-2.43
Na (0.8290, 0.1710, 0.2500)  3 O 2.28-2.43
Nb (0.5000, 0.5000, 0.0000)  6 O 1.97-2.04
Nb (0.5000, 0.5000, 0.5000)  6 O 1.97-2.04
Si (0.1783, 0.8217, 0.2500)  4 O 1.65
Si (0.8217, 0.1783, 0.7500)  4 O 1.65
O (0.1282, 0.2537, 0.8949)  1 Si 1.65
O (0.2032, 0.6302, 0.3830)  1 Si 1.65
O (0.2537, 0.1282, 0.3949)  1 Si 1.65
O (0.3698, 0.7968, 0.1170)  1 Si 1.65
O (0.4307, 0.5693, 0.7500)  2 Nb 1.97
O (0.5693, 0.4307, 0.2500)  2 Nb 1.97
O (0.6302, 0.2032, 0.8830)  1 Si 1.65
O (0.7463, 0.8718, 0.6051)  1 Si 1.65
O (0.7968, 0.3698, 0.6170)  1 Si 1.65
O (0.8718, 0.7463, 0.1051)  1 Si 1.65

Properties
Formation energy from raw total energies (eV per atom): -2.57
Density of states at the Fermi level (states/eV/atom): 0.000
Final energy (eV/atom): -7.767
Total moment (μB per formula unit): 0.000
Calculated volume (Å³ per cell): 205.1

[6]
Entry from the Alexandria database: a geometry-optimized SbW2I structure (PBE).

Cell: 6.6981 6.6981 6.6981 Å, 90.00 90.00 90.00°
Last column: nearest neighbours and their distance in Å.
Element x y z (fractional)
Sb (0.0000, 0.0000, 0.0000)  8 W 2.90
Sb (0.0000, 0.5000, 0.5000)  8 W 2.90
Sb (0.5000, 0.0000, 0.5000)  8 W 2.90
Sb (0.5000, 0.5000, 0.0000)  8 W 2.90
W (0.2500, 0.2500, 0.2500)  4 Sb 2.90, 4 I 2.90
W (0.2500, 0.2500, 0.7500)  4 Sb 2.90, 4 I 2.90
W (0.2500, 0.7500, 0.2500)  4 Sb 2.90, 4 I 2.90
W (0.2500, 0.7500, 0.7500)  4 I 2.90, 4 Sb 2.90
W (0.7500, 0.2500, 0.2500)  4 Sb 2.90, 4 I 2.90
W (0.7500, 0.2500, 0.7500)  4 I 2.90, 4 Sb 2.90
W (0.7500, 0.7500, 0.2500)  4 I 2.90, 4 Sb 2.90
W (0.7500, 0.7500, 0.7500)  4 Sb 2.90, 4 I 2.90
I (0.0000, 0.0000, 0.5000)  8 W 2.90
I (0.0000, 0.5000, 0.0000)  8 W 2.90
I (0.5000, 0.0000, 0.0000)  8 W 2.90
I (0.5000, 0.5000, 0.5000)  8 W 2.90

Properties
Formation energy from raw total energies (eV per atom): 1.13
Density of states at the Fermi level (states/eV/atom): 0.925
Final energy (eV/atom): -6.766
Energy above the most stable polymorph in this dataset (eV/f.u.): 0.000
Total moment (μB per formula unit): 0.000
Calculated volume (Å³ per cell): 300.5

[7]
Entry from the Alexandria database: a geometry-optimized TbZn2GaCo2 structure (PBE).

Cell: 4.3777 4.3777 5.5059 Å, 90.00 90.00 90.00°
Last column: nearest neighbours and their distance in Å.
Element x y z (fractional)
Tb (0.0000, 0.0000, 0.0000)  2 Ga 2.75
Zn (0.5000, 0.5000, 0.2473)  4 Co 2.59, 2 Zn 2.72-2.78
Zn (0.5000, 0.5000, 0.7527)  4 Co 2.59, 2 Zn 2.72-2.78
Ga (0.0000, 0.0000, 0.5000)  4 Co 2.19
Co (0.0000, 0.5000, 0.5000)  2 Ga 2.19
Co (0.5000, 0.0000, 0.5000)  2 Ga 2.19

Properties
Density of states at the Fermi level (states/eV/atom): 0.535
Final energy (eV/atom): -4.044
Total moment (μB per formula unit): 1.460
Calculated volume (Å³ per cell): 105.5
Formation energy (eV/atom): 0.0258

[8]
Entry from the Alexandria database: a geometry-optimized LaPrNd structure (PBE).

Cell: 5.9155 5.9155 3.5421 Å, 90.00 90.00 120.00°
Last column: nearest neighbours and their distance in Å.
Element x y z (fractional)
La (0.0000, 0.0000, 0.0000)  3 Pr 3.42, 2 La 3.54
Pr (0.3333, 0.6667, 0.0000)  3 La 3.42, 2 Pr 3.54
Nd (0.6667, 0.3333, 0.5000)  2 Nd 3.54, 6 La 3.85, 6 Pr 3.85

Properties
Density of states at the Fermi level (states/eV/atom): 1.577
Final energy (eV/atom): -4.776
Energy above the most stable polymorph in this dataset (eV/f.u.): 0.117
Total moment (μB per formula unit): 0.000
Calculated volume (Å³ per cell): 107.3
Formation energy (eV/atom): 0.0487

Question: The highest final energy belongs to which entry?
Answer: CaHoMgPd

What did the second record say?
Entry from the Alexandria database: a geometry-optimized Re2PRu structure (PBE).

Cell: 3.7928 3.7928 7.7666 Å, 90.00 90.00 90.00°
Last column: nearest neighbours and their distance in Å.
Element x y z (fractional)
Re (0.0000, 0.0000, 0.0000)  4 P 2.68, 4 Re 2.71, 4 Ru 2.71
Re (0.0000, 0.5000, 0.2500)  4 Ru 2.68, 4 Re 2.71, 4 P 2.71
Re (0.5000, 0.0000, 0.7500)  4 Ru 2.68, 4 Re 2.71, 4 P 2.71
Re (0.5000, 0.5000, 0.5000)  4 P 2.68, 4 Re 2.71, 4 Ru 2.71
P (0.0000, 0.0000, 0.5000)  8 Re 2.68-2.71, 4 Ru 2.71
P (0.5000, 0.5000, 0.0000)  8 Re 2.68-2.71, 4 Ru 2.71
Ru (0.0000, 0.5000, 0.7500)  8 Re 2.68-2.71, 4 P 2.71
Ru (0.5000, 0.0000, 0.2500)  8 Re 2.68-2.71, 4 P 2.71

Properties
Density of states at the Fermi level (states/eV/atom): 1.065
Final energy (eV/atom): -9.607
Total moment (μB per formula unit): 0.000
Calculated volume (Å³ per cell): 111.7
Formation energy (eV/atom): 0.2883